Entry 1:
Compound: LiTeHI2
Source: Alexandria
Functional: PBE
Structure: optimized geometry

Results
ρ: 4795 kg/m3
Total DFT energy (no corrections): -11.5 eV for the cell shown
Relative energy among the computed polymorphs: 0.0000 eV/atom

Cell: 5.861 5.861 3.925 Å, 90.00 90.00 90.00°
Space group P4/mmm (No. 123)
Inequivalent atoms, fractional coordinates:
Li 0.000 0.000 0.000
Te 0.500 0.500 0.000
H 0.500 0.500 0.500
I 0.000 0.500 0.500



Entry 2:
Compound: LiTe2HI
Source: Alexandria
Functional: PBE
Structure: optimized geometry

Results
ρ: 4448 kg/m3
Total DFT energy (no corrections): -14.0 eV for the cell shown
Relative energy among the computed polymorphs: 0.1642 eV/atom

Cell: 3.894 4.479 9.276 Å, 101.03 91.28 112.72°
Space group P1 (No. 1)
Inequivalent atoms, fractional coordinates:
Li 0.000 0.000 0.000
Te 0.232 0.172 0.687
Te 0.873 0.330 0.461
H 0.436 0.580 0.780
I 0.702 0.433 0.102



Entry 3:
Compound: LiYH2I
Source: Alexandria
Functional: PBE
Structure: optimized geometry

Results
ρ: 3865 kg/m3
Total DFT energy (no corrections): -13.1 eV for the cell shown

Cell: 4.395 4.395 4.999 Å, 90.00 90.00 90.00°
Space group P4/mmm (No. 123)
Inequivalent atoms, fractional coordinates:
Li 0.000 0.000 0.000
Y 0.500 0.500 0.000
H 0.000 0.500 0.500
I 0.000 0.000 0.500



Entry 4:
Compound: Mg2H2I
Source: Alexandria
Functional: PBE
Structure: optimized geometry

Results
ρ: 3634 kg/m3
Total DFT energy (no corrections): -24.8 eV for the cell shown

Cell: 3.853 3.853 10.926 Å, 90.00 90.00 90.00°
Space group I4/mmm (No. 139)
Inequivalent atoms, fractional coordinates:
Mg 0.000 0.000 0.170
H 0.000 0.500 0.250
I 0.000 0.000 0.500



Entry 5:
Compound: Mg2HI
Source: Alexandria
Functional: PBE
Structure: optimized geometry

Results
ρ: 3205 kg/m3
Total DFT energy (no corrections): -26.9 eV for the cell shown
Relative energy among the computed polymorphs: 0.3652 eV/atom

Cell: 7.152 7.152 7.152 Å, 90.00 90.00 90.00°
Space group Fm-3m (No. 225)
Inequivalent atoms, fractional coordinates:
Mg 0.250 0.250 0.250
H 0.000 0.000 0.000
I 0.000 0.000 0.500



Entry 6:
Compound: Mg2H2I3
Source: Alexandria
Functional: PBE
Structure: optimized geometry

Results
ρ: 3150 kg/m3
Total DFT energy (no corrections): -18.0 eV for the cell shown

Cell: 4.202 7.495 7.724 Å, 103.24 105.66 90.51°
Space group P-1 (No. 2)
Inequivalent atoms, fractional coordinates:
Mg 0.129 0.419 0.263
H 0.005 0.047 0.990
I 0.284 0.755 0.560
I 0.500 0.500 0.000



Entry 7:
Compound: MgHI
Source: Alexandria
Functional: PBE
Structure: optimized geometry

Results
ρ: 3774 kg/m3
Total DFT energy (no corrections): -32.4 eV for the cell shown

Cell: 12.161 5.846 3.971 Å, 90.00 108.38 90.00°
Space group C2/m (No. 12)
Inequivalent atoms, fractional coordinates:
Mg 0.103 0.000 0.350
H 0.069 0.000 0.816
I 0.147 0.500 0.387



Entry 8:
Compound: Mg2HI
Source: Alexandria
Functional: PBE
Structure: optimized geometry

Results
ρ: 2894 kg/m3
Total DFT energy (no corrections): -32.8 eV for the cell shown
Relative energy among the computed polymorphs: 0.0000 eV/atom

Cell: 5.517 5.517 13.314 Å, 90.00 90.00 90.00°
Space group I-42d (No. 122)
Inequivalent atoms, fractional coordinates:
Mg 0.097 0.250 0.125
H 0.000 0.000 0.000
I 0.000 0.000 0.500



Entry 9:
Compound: MgHI
Source: Alexandria
Functional: PBE
Structure: optimized geometry

Results
ρ: 3340 kg/m3
Total DFT energy (no corrections): -32.9 eV for the cell shown

Cell: 7.827 6.796 5.954 Å, 90.00 107.07 90.00°
Space group P2_1/c (No. 14)
Inequivalent atoms, fractional coordinates:
Mg 0.018 0.136 0.217
H 0.060 0.641 0.624
I 0.278 0.054 0.666



Entry 10:
Compound: MgH2I3
Source: Alexandria
Functional: PBE
Structure: optimized geometry

Results
ρ: 3512 kg/m3
Total DFT energy (no corrections): -44.0 eV for the cell shown

Cell: 10.218 9.237 8.313 Å, 90.00 101.12 90.00°
Space group C2/c (No. 15)
Inequivalent atoms, fractional coordinates:
Mg 0.000 0.093 0.250
H 0.106 0.273 0.906
I 0.000 0.392 0.250
I 0.173 0.054 0.581



Entry 11:
Compound: Mg2H6I
Source: Alexandria
Functional: PBE
Structure: optimized geometry

Results
ρ: 3120 kg/m3
Total DFT energy (no corrections): -76.9 eV for the cell shown

Cell: 7.284 7.284 7.284 Å, 90.00 90.00 90.00°
Space group Fm-3m (No. 225)
Inequivalent atoms, fractional coordinates:
Mg 0.250 0.250 0.250
H 0.000 0.000 0.130
I 0.000 0.000 0.500



Entry 12:
Compound: MgHIO2
Source: Alexandria
Functional: PBE
Structure: optimized geometry

Results
ρ: 4757 kg/m3
Total DFT energy (no corrections): -15.0 eV for the cell shown
Relative energy among the computed polymorphs: 0.2621 eV/atom

Cell: 4.329 4.329 3.431 Å, 90.00 90.00 90.00°
Space group P4/mmm (No. 123)
Inequivalent atoms, fractional coordinates:
Mg 0.000 0.000 0.000
H 0.500 0.500 0.500
I 0.500 0.500 0.000
O 0.000 0.500 0.500



Entry 13:
Compound: MgH16I2O8
Source: Alexandria
Functional: PBE
Structure: optimized geometry

Results
ρ: 2074 kg/m3
Total DFT energy (no corrections): -510.1 eV for the cell shown

Cell: 8.579 15.851 9.945 Å, 90.00 90.00 90.00°
Space group Cmce (No. 64)
Inequivalent atoms, fractional coordinates:
Mg 0.000 0.000 0.000
H 0.000 0.128 0.193
H 0.000 0.174 0.052
H 0.092 0.090 0.788
H 0.186 0.048 0.476
H 0.221 0.193 0.675
I 0.000 0.178 0.445
O 0.000 0.056 0.814
O 0.000 0.118 0.095
O 0.246 0.000 0.000
O 0.250 0.156 0.750



Entry 14:
Compound: MgH12I8O6
Source: Alexandria
Functional: PBE
Structure: optimized geometry

Results
ρ: 3311 kg/m3
Total DFT energy (no corrections): -107.2 eV for the cell shown

Cell: 7.905 9.105 9.787 Å, 62.97 67.26 74.90°
Space group P-1 (No. 2)
Inequivalent atoms, fractional coordinates:
Mg 0.000 0.000 0.000
H 0.071 0.313 0.761
H 0.161 0.776 0.854
H 0.186 0.184 0.682
H 0.215 0.938 0.189
H 0.270 0.106 0.036
H 0.296 0.767 0.943
I 0.007 0.347 0.293
I 0.284 0.647 0.405
I 0.356 0.104 0.438
I 0.450 0.363 0.899
O 0.111 0.195 0.785
O 0.182 0.824 0.917
O 0.184 0.021 0.092



Entry 15:
Compound: MgHIO2
Source: Alexandria
Functional: PBE
Structure: optimized geometry

Results
ρ: 2970 kg/m3
Total DFT energy (no corrections): -16.3 eV for the cell shown
Relative energy among the computed polymorphs: 0.0000 eV/atom

Cell: 3.744 3.744 7.349 Å, 90.00 90.00 90.00°
Space group P4/mmm (No. 123)
Inequivalent atoms, fractional coordinates:
Mg 0.000 0.000 0.000
H 0.500 0.500 0.500
I 0.000 0.000 0.500
O 0.000 0.500 0.000



Entry 16:
Compound: MgH8I2O10
Source: Alexandria
Functional: PBE
Structure: optimized geometry

Results
ρ: 3123 kg/m3
Total DFT energy (no corrections): -204.1 eV for the cell shown

Cell: 8.420 6.668 8.572 Å, 90.00 99.60 90.00°
Space group P2_1/c (No. 14)
Inequivalent atoms, fractional coordinates:
Mg 0.000 0.000 0.000
H 0.007 0.121 0.309
H 0.155 0.502 0.259
H 0.265 0.614 0.722
H 0.273 0.721 0.556
I 0.334 0.177 0.529
O 0.064 0.578 0.290
O 0.116 0.220 0.475
O 0.234 0.600 0.606
O 0.338 0.577 0.943
O 0.342 0.116 0.738



Entry 17:
Compound: MgHI2O
Source: Alexandria
Functional: PBE
Structure: optimized geometry

Results
ρ: 4682 kg/m3
Total DFT energy (no corrections): -12.0 eV for the cell shown
Relative energy among the computed polymorphs: 0.2344 eV/atom

Cell: 6.006 6.006 2.902 Å, 90.00 90.00 90.00°
Space group P4/mmm (No. 123)
Inequivalent atoms, fractional coordinates:
Mg 0.000 0.000 0.000
H 0.500 0.500 0.500
I 0.000 0.500 0.500
O 0.500 0.500 0.000



Entry 18:
Compound: MgHI2O
Source: Alexandria
Functional: PBE
Structure: optimized geometry

Results
ρ: 3414 kg/m3
Total DFT energy (no corrections): -13.2 eV for the cell shown
Relative energy among the computed polymorphs: 0.0000 eV/atom

Cell: 6.311 6.311 3.604 Å, 90.00 90.00 90.00°
Space group P4/mmm (No. 123)
Inequivalent atoms, fractional coordinates:
Mg 0.000 0.000 0.000
H 0.500 0.500 0.500
I 0.000 0.500 0.000
O 0.000 0.000 0.500